Record 1
Density functional theory data (PBE) for crystalline TbScZnPt at its relaxed geometry.

a = 3.449 Å, b = 3.449 Å, c = 6.797 Å
α = 90.00°, β = 90.00°, γ = 90.00°
Space group P4mm (No. 99)
Asymmetric unit:
Tb 0.000 0.000 0.000 (multiplicity 1)
Sc 0.000 0.000 0.512 (multiplicity 1)
Zn 0.500 0.500 0.285 (multiplicity 1)
Pt 0.500 0.500 0.730 (multiplicity 1)

Results
As for the energy relative to the lowest polymorph listed for this composition: 0.000 eV per formula unit. The value obtained for the total magnetization is 0.00 μB per cell. The density of states at the Fermi level is 3.18 states/eV/f.u. The crystal system is tetragonal. For the formation energy, the calculation gives -0.80 eV per atom.

=====

Record 2
Density functional theory data (PBE) for crystalline Y5Mg at its relaxed geometry.

a = 12.801 Å, b = 3.610 Å, c = 8.353 Å
α = 90.00°, β = 104.62°, γ = 90.00°
Space group Cm (No. 8)
Asymmetric unit:
Y 0.000 0.000 0.000 (multiplicity 2)
Y 0.039 0.000 0.610 (multiplicity 2)
Y 0.168 0.500 0.347 (multiplicity 2)
Y 0.218 0.500 0.933 (multiplicity 2)
Y 0.388 0.000 0.270 (multiplicity 2)
Mg 0.326 0.000 0.668 (multiplicity 2)

Results
As for the energy relative to the lowest polymorph listed for this composition: 0.065 eV per formula unit. The value obtained for the total magnetization is 0.00 μB per cell. The density of states at the Fermi level is 10.09 states/eV/f.u. The crystal system is monoclinic. For the formation energy, the calculation gives -0.01 eV per atom.

=====

Record 3
Density functional theory data (PBE) for crystalline BeCdF2 at its relaxed geometry.

a = 2.7664 Å, b = 2.7664 Å, c = 27.7305 Å
α = 90.00°, β = 90.00°, γ = 120.00°
Space group R-3m (No. 166, hexagonal axes)
Asymmetric unit:
Be 0.0000 0.0000 0.0000 (multiplicity 3)
Cd 0.0000 0.0000 0.5000 (multiplicity 3)
F 0.0000 0.0000 0.3647 (multiplicity 6)

Results
As for the energy relative to the lowest polymorph listed for this composition: 0.032 eV per formula unit. The value obtained for the total magnetization is 0.00 μB per cell. The density of states at the Fermi level is 0.54 states/eV/f.u. The crystal system is trigonal. As for the formation energy without anion corrections: -8.29 eV/f.u.